(1)
# Ni3Te5Au PBE optimized geometry
# Crystal system: hexagonal
# ρ, Mg/m³: 8.3
# Total magnetic moment, μB/cell: 0.01
# Calculated total energy, eV/atom: -3.907
data_Ni3Te5Au
_cell_length_a 5.5354
_cell_length_b 5.5354
_cell_length_c 7.6398
_cell_angle_alpha 90.00
_cell_angle_beta 90.00
_cell_angle_gamma 120.00
_space_group_name_H-M_alt 'P 1'
_space_group_IT_number 1
loop_
_space_group_symop_operation_xyz
'x,y,z'
loop_
_atom_site_label
_atom_site_type_symbol
_atom_site_fract_x
_atom_site_fract_y
_atom_site_fract_z
Au1 Au 0.0000 0.0000 0.0000
Ni1 Ni 0.5000 0.0000 0.5000
Ni2 Ni 0.0000 0.5000 0.5000
Ni3 Ni 0.5000 0.5000 0.5000
Te1 Te 0.6667 0.3333 0.2332
Te2 Te 0.3333 0.6667 0.2332
Te3 Te 0.0000 0.0000 0.5000
Te4 Te 0.6667 0.3333 0.7668
Te5 Te 0.3333 0.6667 0.7668

---

(2)
# TlNiTe3Au PBE optimized geometry
# Energy above the lowest structure with this stoichiometry, meV per atom: 0
# Crystal system: orthorhombic
# ρ, Mg/m³: 8.3
# Total magnetic moment, μB/cell: 0.01
# Calculated total energy, eV/atom: -3.584
data_TlNiTe3Au
_cell_length_a 14.9344
_cell_length_b 3.9208
_cell_length_c 11.4505
_cell_angle_alpha 90.00
_cell_angle_beta 90.00
_cell_angle_gamma 90.00
_space_group_name_H-M_alt 'P 1'
_space_group_IT_number 1
loop_
_space_group_symop_operation_xyz
'x,y,z'
loop_
_atom_site_label
_atom_site_type_symbol
_atom_site_fract_x
_atom_site_fract_y
_atom_site_fract_z
Au1 Au 0.2937 0.2500 0.2496
Au2 Au 0.7937 0.2500 0.2504
Au3 Au 0.2063 0.7500 0.7496
Au4 Au 0.7063 0.7500 0.7504
Ni1 Ni 0.5353 0.7500 0.1370
Ni2 Ni 0.0353 0.7500 0.3630
Ni3 Ni 0.9647 0.2500 0.6370
Ni4 Ni 0.4647 0.2500 0.8630
Te1 Te 0.5961 0.2500 0.0073
Te2 Te 0.1670 0.7500 0.2172
Te3 Te 0.9714 0.2500 0.2335
Te4 Te 0.4714 0.2500 0.2665
Te5 Te 0.6670 0.7500 0.2828
Te6 Te 0.0961 0.2500 0.4927
Te7 Te 0.9039 0.7500 0.5073
Te8 Te 0.3330 0.2500 0.7172
Te9 Te 0.5286 0.7500 0.7335
Te10 Te 0.0286 0.7500 0.7665
Te11 Te 0.8330 0.2500 0.7828
Te12 Te 0.4039 0.7500 0.9927
Tl1 Tl 0.8164 0.7500 0.0318
Tl2 Tl 0.3164 0.7500 0.4682
Tl3 Tl 0.6836 0.2500 0.5318
Tl4 Tl 0.1836 0.2500 0.9682

---

(3)
# TlNiTe3Au PBE optimized geometry
# Energy above the lowest structure with this stoichiometry, meV per atom: 115
# Crystal system: orthorhombic
# ρ, Mg/m³: 9.2
# Total magnetic moment, μB/cell: 0.01
# Calculated total energy, eV/atom: -3.469
data_TlNiTe3Au
_cell_length_a 8.0554
_cell_length_b 4.2603
_cell_length_c 17.7884
_cell_angle_alpha 90.00
_cell_angle_beta 90.00
_cell_angle_gamma 90.00
_space_group_name_H-M_alt 'P 1'
_space_group_IT_number 1
loop_
_space_group_symop_operation_xyz
'x,y,z'
loop_
_atom_site_label
_atom_site_type_symbol
_atom_site_fract_x
_atom_site_fract_y
_atom_site_fract_z
Au1 Au 0.6069 0.7500 0.1720
Au2 Au 0.1069 0.7500 0.3280
Au3 Au 0.8931 0.2500 0.6720
Au4 Au 0.3931 0.2500 0.8280
Ni1 Ni 0.2921 0.7500 0.0193
Ni2 Ni 0.7921 0.7500 0.4807
Ni3 Ni 0.2079 0.2500 0.5193
Ni4 Ni 0.7079 0.2500 0.9807
Te1 Te 0.8425 0.7500 0.0517
Te2 Te 0.4578 0.2500 0.0681
Te3 Te 0.2288 0.7500 0.1717
Te4 Te 0.7288 0.7500 0.3283
Te5 Te 0.9578 0.2500 0.4319
Te6 Te 0.3425 0.7500 0.4483
Te7 Te 0.6575 0.2500 0.5517
Te8 Te 0.0422 0.7500 0.5681
Te9 Te 0.2712 0.2500 0.6717
Te10 Te 0.7712 0.2500 0.8283
Te11 Te 0.5422 0.7500 0.9319
Te12 Te 0.1575 0.2500 0.9483
Tl1 Tl 0.9046 0.2500 0.2059
Tl2 Tl 0.4046 0.2500 0.2941
Tl3 Tl 0.5954 0.7500 0.7059
Tl4 Tl 0.0954 0.7500 0.7941